[1]
VASP calculation (PBE) on a geometry-optimized Na5Cd structure.

Lattice parameters (Å, degrees): 3.7706 6.8964 8.1694 106.61 90.00 105.87
Element x y z (fractional)
Na  0.9721  0.9441  0.9821
Na  0.3149  0.6298  0.6451
Na  0.6676  0.3351  0.2822
Na  0.6287  0.2574  0.7796
Na  0.9565  0.9129  0.4010
Cd  0.2936  0.5873  0.0767

Summary:
DOS(E_F) (states/eV/atom): 0.39
Energy of formation from the pure elements (eV/atom): -0.018
Theoretical density (g cm⁻³): 1.93

---

[2]
VASP calculation (PBE) on a geometry-optimized Na4Cd structure.

Lattice parameters (Å, degrees): 5.5676 6.6706 8.5013 100.46 90.00 90.00
Element x y z (fractional)
Na  0.0031  0.6113  0.1958
Na  0.5031  0.8887  0.3042
Na  0.9969  0.3887  0.8042
Na  0.4969  0.1113  0.6958
Na  0.9986  0.7834  0.6086
Na  0.4986  0.7166  0.8914
Na  0.0014  0.2166  0.3914
Na  0.5014  0.2834  0.1086
Cd  0.0000  0.0000  0.0000
Cd  0.5000  0.5000  0.5000

Summary:
DOS(E_F) (states/eV/atom): 0.47
Energy of formation from the pure elements (eV/atom): -0.028
Theoretical density (g cm⁻³): 2.19

---

[3]
VASP calculation (PBE) on a geometry-optimized Na2Cd5 structure.

Lattice parameters (Å, degrees): 5.5338 7.6446 8.4707 95.48 90.00 111.22
Element x y z (fractional)
Na  0.7474  0.1470  0.6050
Na  0.6004  0.8530  0.8950
Na  0.2526  0.8530  0.3950
Na  0.3996  0.1470  0.1050
Cd  0.6874  0.7024  0.5389
Cd  0.9850  0.2976  0.9611
Cd  0.8850  0.4167  0.3197
Cd  0.4683  0.5833  0.1803
Cd  0.1150  0.5833  0.6803
Cd  0.5317  0.4167  0.8197
Cd  0.0150  0.7024  0.0389
Cd  0.3126  0.2976  0.4611
Cd  0.1633  0.0000  0.7500
Cd  0.8367  0.0000  0.2500

Summary:
DOS(E_F) (states/eV/atom): 0.28
Energy of formation from the pure elements (eV/atom): -0.070
Theoretical density (g cm⁻³): 6.08

---

[4]
VASP calculation (PBE) on a geometry-optimized NaCd4 structure.

Lattice parameters (Å, degrees): 4.3849 4.3848 7.5484 106.94 106.94 89.81
Element x y z (fractional)
Na  0.5000  0.0000  0.5000
Cd  0.7500  0.7500  0.0000
Cd  0.2500  0.2500  0.0000
Cd  0.8987  0.3987  0.2974
Cd  0.1013  0.6013  0.7026

Summary:
DOS(E_F) (states/eV/atom): 0.45
Energy of formation from the pure elements (eV/atom): -0.026
Theoretical density (g cm⁻³): 5.93

---

[5]
VASP calculation (PBE) on a geometry-optimized Na13Cd2 structure.

Lattice parameters (Å, degrees): 9.2929 9.2929 8.8899 58.49 58.49 60.00
Element x y z (fractional)
Na  0.5000  0.5000  0.5000
Na  0.0164  0.6330  0.7177
Na  0.6330  0.6330  0.7177
Na  0.6330  0.0164  0.7177
Na  0.3670  0.9836  0.2823
Na  0.9836  0.3670  0.2823
Na  0.3670  0.3670  0.2823
Na  0.1930  0.8028  0.2015
Na  0.8028  0.8028  0.2015
Na  0.8028  0.1930  0.2015
Na  0.1972  0.8070  0.7985
Na  0.8070  0.1972  0.7985
Na  0.1972  0.1972  0.7985
Cd  0.6440  0.6440  0.0680
Cd  0.3560  0.3560  0.9320

Summary:
DOS(E_F) (states/eV/atom): 0.57
Energy of formation from the pure elements (eV/atom): 0.034
Theoretical density (g cm⁻³): 1.64

---

[6]
VASP calculation (PBE) on a geometry-optimized Na2Cd structure.

Lattice parameters (Å, degrees): 6.3603 6.3603 6.3603 60.00 60.00 60.00
Element x y z (fractional)
Na  0.1250  0.6250  0.6250
Na  0.6250  0.1250  0.6250
Na  0.6250  0.6250  0.6250
Na  0.6250  0.6250  0.1250
Cd  0.0000  0.0000  0.0000
Cd  0.2500  0.2500  0.2500

Summary:
DOS(E_F) (states/eV/atom): 0.87
Energy of formation from the pure elements (eV/atom): 0.107
Theoretical density (g cm⁻³): 2.89

---

[7]
VASP calculation (PBE) on a geometry-optimized Na5Cd4 structure.

Lattice parameters (Å, degrees): 5.1876 5.5715 10.6151 73.87 75.86 62.25
Element x y z (fractional)
Na  0.1221  0.1728  0.5830
Na  0.8779  0.8272  0.4170
Na  0.7150  0.7979  0.7721
Na  0.2850  0.2021  0.2279
Na  0.0000  0.0000  0.0000
Cd  0.3352  0.4072  0.9224
Cd  0.6648  0.5928  0.0776
Cd  0.4225  0.5188  0.6362
Cd  0.5775  0.4812  0.3638

Summary:
DOS(E_F) (states/eV/atom): 0.49
Energy of formation from the pure elements (eV/atom): -0.061
Theoretical density (g cm⁻³): 3.63

---

[8]
VASP calculation (PBE) on a geometry-optimized Na7Cd3 structure.

Lattice parameters (Å, degrees): 7.3611 9.9480 9.9480 120.00 90.00 90.00
Element x y z (fractional)
Na  0.0019  0.6667  0.3333
Na  0.5019  0.3333  0.6667
Na  0.9485  0.8767  0.7534
Na  0.9485  0.8767  0.1233
Na  0.9485  0.2466  0.1233
Na  0.4485  0.1233  0.2466
Na  0.4485  0.1233  0.8767
Na  0.4485  0.7534  0.8767
Na  0.1672  0.4709  0.9418
Na  0.1672  0.4709  0.5291
Na  0.1672  0.0582  0.5291
Na  0.6672  0.5291  0.0582
Na  0.6672  0.5291  0.4709
Na  0.6672  0.9418  0.4709
Cd  0.8530  0.2231  0.4463
Cd  0.8530  0.2231  0.7769
Cd  0.8530  0.5537  0.7769
Cd  0.3530  0.7769  0.5537
Cd  0.3530  0.7769  0.2231
Cd  0.3530  0.4463  0.2231

Summary:
DOS(E_F) (states/eV/atom): 0.23
Energy of formation from the pure elements (eV/atom): -0.029
Theoretical density (g cm⁻³): 2.62

---

[9]
VASP calculation (PBE) on a geometry-optimized NaCd7 structure.

Lattice parameters (Å, degrees): 6.3938 6.3938 6.3938 60.00 60.00 60.00
Element x y z (fractional)
Na  0.0000  0.0000  0.0000
Cd  0.5000  0.5000  0.0000
Cd  0.5000  0.0000  0.5000
Cd  0.0000  0.5000  0.5000
Cd  0.5000  0.0000  0.0000
Cd  0.0000  0.5000  0.0000
Cd  0.0000  0.0000  0.5000
Cd  0.5000  0.5000  0.5000

Summary:
DOS(E_F) (states/eV/atom): 0.15
Energy of formation from the pure elements (eV/atom): -0.033
Theoretical density (g cm⁻³): 7.28

---

[10]
VASP calculation (PBE) on a geometry-optimized Na6Cd23 structure.

Lattice parameters (Å, degrees): 10.0508 10.0508 10.0508 60.00 60.00 60.00
Element x y z (fractional)
Na  0.2054  0.7946  0.7946
Na  0.7946  0.2054  0.2054
Na  0.2054  0.2054  0.7946
Na  0.7946  0.7946  0.2054
Na  0.2054  0.7946  0.2054
Na  0.7946  0.2054  0.7946
Cd  0.5000  0.5000  0.5000
Cd  0.5000  0.0000  0.0000
Cd  0.0000  0.5000  0.5000
Cd  0.5000  0.5000  0.0000
Cd  0.0000  0.0000  0.5000
Cd  0.5000  0.0000  0.5000
Cd  0.0000  0.5000  0.0000
Cd  0.1402  0.6199  0.6199
Cd  0.6199  0.6199  0.1402
Cd  0.6199  0.1402  0.6199
Cd  0.6199  0.6199  0.6199
Cd  0.3801  0.3801  0.8598
Cd  0.8598  0.3801  0.3801
Cd  0.3801  0.8598  0.3801
Cd  0.3801  0.3801  0.3801
Cd  0.4902  0.8366  0.8366
Cd  0.8366  0.8366  0.4902
Cd  0.8366  0.4902  0.8366
Cd  0.8366  0.8366  0.8366
Cd  0.1634  0.1634  0.5098
Cd  0.5098  0.1634  0.1634
Cd  0.1634  0.5098  0.1634
Cd  0.1634  0.1634  0.1634

Summary:
DOS(E_F) (states/eV/atom): 0.52
Energy of formation from the pure elements (eV/atom): -0.068
Theoretical density (g cm⁻³): 6.30

---

[11]
VASP calculation (PBE) on a geometry-optimized Na4Cd structure.

Lattice parameters (Å, degrees): 5.9072 5.9072 5.9072 90.00 90.00 90.00
Element x y z (fractional)
Na  0.0000  0.0000  0.0000
Na  0.5000  0.0000  0.5000
Na  0.0000  0.5000  0.5000
Na  0.5000  0.5000  0.0000
Cd  0.5000  0.5000  0.5000

Summary:
DOS(E_F) (states/eV/atom): 0.66
Energy of formation from the pure elements (eV/atom): 0.113
Theoretical density (g cm⁻³): 1.65

---

[12]
VASP calculation (PBE) on a geometry-optimized Na2Cd13 structure.

Lattice parameters (Å, degrees): 5.4440 8.1414 8.9929 117.16 94.66 95.01
Element x y z (fractional)
Na  0.9454  0.7257  0.5871
Na  0.0546  0.2743  0.4129
Cd  0.6495  0.6808  0.0158
Cd  0.3505  0.3192  0.9842
Cd  0.0000  0.0000  0.0000
Cd  0.2789  0.0679  0.5999
Cd  0.7211  0.9321  0.4001
Cd  0.1152  0.5491  0.8257
Cd  0.8848  0.4509  0.1743
Cd  0.4168  0.5807  0.3788
Cd  0.5832  0.4193  0.6212
Cd  0.4713  0.8645  0.7981
Cd  0.5287  0.1355  0.2019
Cd  0.8168  0.1844  0.7811
Cd  0.1832  0.8156  0.2189

Summary:
DOS(E_F) (states/eV/atom): 0.24
Energy of formation from the pure elements (eV/atom): -0.027
Theoretical density (g cm⁻³): 7.15

---

The volume results, record by record, are as follows: 195.12, 310.49, 332.29, 132.28, 530.12, 181.93, 258.44, 630.87, 184.82, 717.94, 206.13, 349.95 Å³ per cell.